The following is a DFT calculation (PBE-GGA) of an optimized crystal structure of Tb5HoTh2.

Cell and atoms, written as POSCAR:
```
Tb5HoTh2
1.0
-1.532 3.112 0.891
-9.051 -4.130 -1.132
6.082 -2.984 6.537
Tb Th Ho
5 2 1
Cartesian
-4.525 -2.065 -0.566
3.053 -1.963 4.947
-7.553 -2.038 1.348
-3.017 0.032 1.916
-1.483 -4.033 4.380
0.012 -0.968 3.431
-4.513 -3.034 2.865
0.000 0.000 0.000
```

Theoretical density = 9.2 g cm⁻³
Space group = C2/m
Formation enthalpy at 0 K = 3.5 kJ per mole of atoms
E above lowest polymorph = 0.000 eV/atom